# 1
The following is a DFT calculation (PBE-GGA) of crystalline PrEr2Al9 at its relaxed geometry.

Unit cell a=5.595 b=5.595 c=9.334 alpha=72.56 beta=72.56 gamma=60.00
Fractional positions:
Pr 0.000 0.000 0.000
Er 0.858 0.858 0.426
Er 0.142 0.142 0.574
Al 0.664 0.664 0.007
Al 0.336 0.336 0.993
Al 0.500 0.500 0.500
Al 0.412 0.412 0.253
Al 0.923 0.412 0.253
Al 0.412 0.923 0.253
Al 0.588 0.588 0.747
Al 0.588 0.077 0.747
Al 0.077 0.588 0.747

Summary:
Energy of formation from the pure elements in eV per formula unit: -4.618
Total moment in μB/f.u.: 0.0



# 2
The following is a DFT calculation (PBE-GGA) of crystalline PrEr2Al3 at its relaxed geometry.

Unit cell a=5.978 b=9.978 c=7.802 alpha=129.75 beta=112.52 gamma=90.00
Fractional positions:
Pr 0.500 0.250 0.500
Pr 0.500 0.750 0.500
Er 0.166 0.916 0.832
Er 0.166 0.416 0.832
Er 0.834 0.584 0.168
Er 0.834 0.084 0.168
Al 0.000 0.750 0.000
Al 0.000 0.250 0.000
Al 0.500 0.750 0.000
Al 0.000 0.000 0.500
Al 0.000 0.500 0.500
Al 0.500 0.250 0.000

Summary:
Offset from the most stable computed form in meV/atom: 199
Energy of formation from the pure elements in eV per formula unit: -1.068
Total moment in μB/f.u.: 0.0



V (A^3/atom)
19.783, 25.854
Calculated density (Mg/m³)
5.02, 5.96